Computed, not measured: crystalline SrCu2AgO at its relaxed geometry at the PBEsol level of DFT.

Results
crystal system: tetragonal
E_form (uncorrected): 4.237 eV/f.u.
theoretical density: 4.9 g/cm3
DOS(E_F): 2.3 states/eV/f.u.

Lattice parameters (Å, degrees): 5.2522 5.2522 4.1828 90.00 90.00 90.00
Space group P4/mmm (No. 123)
Inequivalent atoms, fractional coordinates:
Sr1 0.0000 0.0000 0.0000
Cu1 0.0000 0.5000 0.0000
Ag1 0.5000 0.5000 0.5000
O1 0.0000 0.0000 0.5000

Computed, not measured: crystalline CuAg4TeO6 at its relaxed geometry at the PBEsol level of DFT.

Results
crystal system: monoclinic
E_form (uncorrected): -5.230 eV/f.u.
theoretical density: 7.8 g/cm3
DOS(E_F): 2.3 states/eV/f.u.

Lattice parameters (Å, degrees): 11.1811 9.6983 5.7072 90.00 100.00 90.00
Space group C2/c (No. 15)
Inequivalent atoms, fractional coordinates:
Cu1 0.0000 0.0842 0.2500
Ag1 0.0000 0.4309 0.2500
Ag2 0.2308 0.4175 0.0436
Ag3 0.2500 0.2500 0.5000
Te1 0.0000 0.2217 0.7500
O1 0.0778 0.2252 0.0865
O2 0.1043 0.0682 0.6754
O3 0.1183 0.3601 0.6875

Look up the E_form (uncorrected) of the first one. 4.237 eV/f.u.

The highest theoretical density belongs to which entry? CuAg4TeO6

Number 2 is which compound? CuAg4TeO6

Look up the E_form (uncorrected) of the second one. -5.230 eV/f.u.